No. 1
A plane-wave DFT calculation with PBE was carried out for crystalline Cs2NaCu at its relaxed geometry.

Unit cell a=9.9190 b=9.9190 c=9.9190 alpha=94.90 beta=94.90 gamma=146.00
Last column: nearest neighbours and their distance in Å.
Sites, in units of the cell vectors:
Cs  0.0409  0.8750  0.6659  2 Cu 3.61
Cs  0.1250  0.7909  0.1659  2 Cu 3.61
Cs  0.2091  0.3750  0.3341  2 Cu 3.61
Cs  0.6250  0.9591  0.8341  2 Cu 3.61
Cu  0.0000  0.0000  0.0000  2 Na 2.90
Cu  0.2500  0.7500  0.5000  2 Na 2.90
Na  0.5000  0.5000  0.0000  2 Cu 2.90
Na  0.7500  0.2500  0.5000  2 Cu 2.90

Calculated total energy ... -6.1 eV per formula unit
Calculated volume ... 521.9 Å³/cell
Energy of formation from the pure elements ... 261 meV/atom
Relative energy among the computed polymorphs ... 0 meV per atom

=====

No. 2
A plane-wave DFT calculation with PBE was carried out for crystalline SrLiMg3Tl at its relaxed geometry.

Unit cell a=6.5491 b=7.0446 c=7.9440 alpha=116.32 beta=90.00 gamma=90.00
Last column: nearest neighbours and their distance in Å.
Sites, in units of the cell vectors:
Mg  0.0000  0.7098  0.0000  2 Li 2.79, 1 Mg 2.96, 2 Tl 3.08
Mg  0.0000  0.2902  0.0000  2 Li 2.79, 1 Mg 2.96, 2 Tl 3.08
Mg  0.5000  0.2902  0.0000  2 Li 2.79, 1 Mg 2.96, 2 Tl 3.08
Mg  0.7500  0.8675  0.7349  1 Li 2.85, 1 Tl 3.09
Mg  0.2500  0.1325  0.2651  1 Li 2.85, 1 Tl 3.09
Mg  0.5000  0.7098  0.0000  2 Li 2.79, 1 Mg 2.96, 2 Tl 3.08
Tl  0.2500  0.3493  0.6986  5 Mg 3.08-3.09, 2 Sr 3.39
Tl  0.7500  0.6507  0.3014  5 Mg 3.08-3.09, 2 Sr 3.39
Li  0.2500  0.9321  0.8643  5 Mg 2.79-2.85
Li  0.7500  0.0679  0.1357  5 Mg 2.79-2.85
Sr  0.2500  0.7123  0.4245  1 Li 3.13, 2 Tl 3.39
Sr  0.7500  0.2877  0.5755  1 Li 3.13, 2 Tl 3.39

Calculated total energy ... -11.2 eV per formula unit
Calculated volume ... 328.5 Å³/cell
Energy of formation from the pure elements ... -70 meV/atom

=====

No. 3
A plane-wave DFT calculation with PBE was carried out for crystalline Ca3WSe at its relaxed geometry.

Unit cell a=5.3910 b=5.3910 c=5.3910 alpha=90.00 beta=90.00 gamma=90.00
Last column: nearest neighbours and their distance in Å.
Sites, in units of the cell vectors:
W  0.0000  0.0000  0.0000  6 Ca 2.70
Se  0.5000  0.5000  0.5000  12 Ca 3.81
Ca  0.5000  0.0000  0.0000  2 W 2.70
Ca  0.0000  0.0000  0.5000  2 W 2.70
Ca  0.0000  0.5000  0.0000  2 W 2.70

Formation energy from raw total energies ... 0.6934 eV per atom
Calculated total energy ... -19.0 eV per formula unit
Calculated volume ... 156.7 Å³/cell
Relative energy among the computed polymorphs ... 341 meV per atom

=====

Spin magnetization readings, ordered: 0.000, 0.000, 0.000 μB/cell